(1)
A relaxed Ga2IrCl crystal. Source: Alexandria via LeMat-Bulk, functional PBE.

Unit cell a=7.0837 b=7.0837 c=7.0837 alpha=129.83 beta=129.83 gamma=73.68
Fractional coordinates of all 8 atoms:
Ga 0.0731 0.6250 0.9481
Ga 0.3750 0.3231 0.4481
Ga 0.6769 0.1250 0.0519
Ga 0.8750 0.9269 0.5519
Ir 0.0000 0.0000 0.0000
Ir 0.7500 0.2500 0.5000
Cl 0.2500 0.7500 0.5000
Cl 0.5000 0.5000 0.0000

Values from the calculation:
DFT total energy, eV for the cell shown: -33.96
Space group: I-42d (122)
Excess energy over the best structure of this formula in the dataset, meV per atom: 0
Formation energy (no corrections), kJ per mole of atoms: -5.3



(2)
A relaxed Ga2IrCl crystal. Source: Alexandria via LeMat-Bulk, functional PBE.

Unit cell a=4.6200 b=4.6200 c=4.6200 alpha=60.00 beta=60.00 gamma=60.00
Fractional coordinates of all 4 atoms:
Ga 0.2500 0.2500 0.2500
Ga 0.7500 0.7500 0.7500
Ir 0.0000 0.0000 0.0000
Cl 0.5000 0.5000 0.5000

Values from the calculation:
DFT total energy, eV for the cell shown: -15.46
Space group: Fm-3m (225)
Excess energy over the best structure of this formula in the dataset, meV per atom: 380
Formation energy (no corrections), kJ per mole of atoms: 31.4



(3)
A relaxed Ga3IrCl crystal. Source: Alexandria via LeMat-Bulk, functional PBE.

Unit cell a=4.7907 b=4.7907 c=4.7907 alpha=90.00 beta=90.00 gamma=90.00
Fractional coordinates of all 5 atoms:
Ga 0.0000 0.0000 0.5000
Ga 0.0000 0.5000 0.0000
Ga 0.5000 0.0000 0.0000
Ir 0.5000 0.5000 0.5000
Cl 0.0000 0.0000 0.0000

Values from the calculation:
DFT total energy, eV for the cell shown: -14.96
Space group: Pm-3m (221)
Excess energy over the best structure of this formula in the dataset, meV per atom: 1484
Formation energy (no corrections), kJ per mole of atoms: 93.2